1.
## MgZrBe2Si (PBEsol)

Data for MgZrBe2Si after structural relaxation.

a b c (Å): 4.6008 4.6008 5.3701
angles (deg): 90.00 90.00 90.00
Positions (direct):
Mg1 0.0000 0.0000 0.0000
Zr1 0.0000 0.0000 0.5000
Be1 0.0000 0.5000 0.5000
Be2 0.5000 0.0000 0.5000
Si1 0.5000 0.5000 0.0000

## Properties
- energy relative to the elements, uncorrected (meV per atom) = 1799
- volume (A^3/atom) = 22.7
- space-group type = P4/mmm, No. 123
- size of the total moment (μB per formula unit) = 0.497

2.
## SrMgBe2Sn (PBEsol)

Data for SrMgBe2Sn after structural relaxation.

a b c (Å): 5.1605 5.1605 5.7813
angles (deg): 90.00 90.00 90.00
Positions (direct):
Sr1 0.0000 0.0000 0.0000
Mg1 0.0000 0.0000 0.5000
Be1 0.0000 0.5000 0.0000
Be2 0.5000 0.0000 0.0000
Sn1 0.5000 0.5000 0.5000

## Properties
- energy of formation (meV per atom) = 1706
- volume (A^3/atom) = 30.8
- space-group type = P4/mmm, No. 123
- size of the total moment (μB per formula unit) = 0.001

3.
## SrMgBe2 (PBEsol)

Data for SrMgBe2 after structural relaxation.

a b c (Å): 4.0988 4.0988 17.5593
angles (deg): 90.00 90.00 120.00
Positions (direct):
Sr1 0.0000 0.0000 0.0000
Sr2 0.3333 0.6667 0.6667
Sr3 0.6667 0.3333 0.3333
Mg1 0.0000 0.0000 0.1840
Mg2 0.3333 0.6667 0.8507
Mg3 0.6667 0.3333 0.5174
Be1 0.0000 0.0000 0.4603
Be2 0.0000 0.0000 0.7922
Be3 0.3333 0.6667 0.1270
Be4 0.3333 0.6667 0.4588
Be5 0.6667 0.3333 0.1255
Be6 0.6667 0.3333 0.7937

## Properties
- energy of formation (meV per atom) = 276
- volume (A^3/atom) = 21.3
- space-group type = R3m, No. 160
- size of the total moment (μB per formula unit) = 0.000

Q: Which value of size of the total moment does entry 3 give?
A: 0.000 μB per formula unit